PmSmTe: relaxed, PBE.

magnetization: 0.00 μB/f.u.
density of states at the Fermi level: 3.20 states/eV/cell
formation energy from raw total energies: -0.51 eV/atom

a = 5.1618 Å, b = 5.1618 Å, c = 4.2908 Å
α = 90.00°, β = 90.00°, γ = 120.00°
With the nearest neighbours (Å) after each atom.
Space group P3m1 (No. 156)
One atom of each set of equivalent atoms:
Pm: 0.0000 0.0000 0.0000 [1 per cell]  3 Te 3.17
Sm: 0.6667 0.3333 0.5101 [1 per cell]  3 Te 3.15
Te: 0.3333 0.6667 0.7472 [1 per cell]  3 Sm 3.15, 3 Pm 3.17